# K2FeH2

A PBEsol-optimized structure of K2FeH2 (SCAN, Alexandria).

Cell and atoms, written as CIF:
```
data_K2FeH2
_cell_length_a 3.232
_cell_length_b 7.453
_cell_length_c 7.453
_cell_angle_alpha 90.00
_cell_angle_beta 90.00
_cell_angle_gamma 90.00
_symmetry_space_group_name_H-M 'P 1'
_symmetry_Int_Tables_number 1
loop_
_symmetry_equiv_pos_as_xyz
'x,y,z'
loop_
_atom_site_label
_atom_site_type_symbol
_atom_site_fract_x
_atom_site_fract_y
_atom_site_fract_z
H1 H 0.000 0.162 0.338
H2 H 0.000 0.662 0.162
H3 H 0.000 0.338 0.838
H4 H 0.000 0.838 0.662
K1 K 0.500 0.855 0.355
K2 K 0.500 0.145 0.645
K3 K 0.500 0.355 0.145
K4 K 0.500 0.645 0.855
Fe1 Fe 0.000 0.000 0.000
Fe2 Fe 0.000 0.500 0.500
```

Properties
- final energy (eV/atom) = -7.851
- total magnetic moment (μB/cell) = 7.57
- symmetry = P4/mbm (127)